An optimized crystal structure of CrReO2. Source: Alexandria, functional GGA+U.

a = 4.974 Å, b = 4.974 Å, c = 5.458 Å
α = 62.89°, β = 62.89°, γ = 90.00°
Site moments in Bohr magnetons follow the coordinates.
Fractional positions:
O 0.626 0.125 0.250  -0.08
O 0.124 0.625 0.250  -0.08
O 0.875 0.876 0.750  -0.09
O 0.375 0.374 0.750  -0.08
Cr 0.500 0.500 0.000  3.73
Cr 0.250 0.750 0.500  3.73
Re 0.000 0.000 0.000  -0.79
Re 0.750 0.250 0.500  -0.78

Results
**Symmetry**: I-42d (122)
**Crystal system**: tetragonal
**Excess energy over the best structure of this formula in the dataset**: 0.742 eV per atom

***

An optimized crystal structure of CrReO4. Source: Alexandria, functional GGA+U.

a = 5.778 Å, b = 7.410 Å, c = 6.561 Å
α = 90.00°, β = 90.00°, γ = 67.06°
Site moments in Bohr magnetons follow the coordinates.
Fractional positions:
O 0.157 0.185 0.000  -0.03
O 0.638 0.223 0.000  0.00
O 0.743 0.501 0.793  -0.05
O 0.507 0.999 0.293  -0.05
O 0.612 0.277 0.500  0.00
O 0.256 0.501 0.793  -0.05
O 0.994 0.999 0.707  -0.05
O 0.256 0.501 0.207  -0.05
O 0.389 0.722 0.500  0.00
O 0.861 0.778 0.000  0.00
O 0.341 0.819 0.000  -0.01
O 0.994 0.999 0.293  -0.05
O 0.093 0.315 0.500  -0.03
O 0.507 0.999 0.707  -0.05
O 0.743 0.501 0.207  -0.05
O 0.909 0.681 0.500  -0.01
Cr 0.490 0.520 0.000  2.93
Cr 0.760 0.980 0.500  2.93
Cr 0.243 0.015 0.500  2.95
Cr 0.007 0.485 0.000  2.95
Re 0.724 0.498 0.500  -0.01
Re 0.526 0.002 0.000  -0.01
Re 0.972 0.002 0.000  -0.01
Re 0.278 0.498 0.500  -0.01

Results
**Symmetry**: Cmcm (63)
**Crystal system**: orthorhombic
**Excess energy over the best structure of this formula in the dataset**: 0.005 eV per atom

***

An optimized crystal structure of Cr2ReO6. Source: Alexandria, functional GGA+U.

a = 4.610 Å, b = 4.610 Å, c = 9.159 Å
α = 90.00°, β = 90.00°, γ = 90.00°
Site moments in Bohr magnetons follow the coordinates.
Fractional positions:
O 0.308 0.308 0.662  -0.03
O 0.795 0.205 0.500  -0.03
O 0.808 0.192 0.838  -0.03
O 0.808 0.192 0.162  -0.03
O 0.192 0.808 0.162  -0.03
O 0.205 0.795 0.500  -0.03
O 0.692 0.692 0.662  -0.03
O 0.705 0.705 0.000  -0.03
O 0.295 0.295 0.000  -0.03
O 0.692 0.692 0.338  -0.03
O 0.192 0.808 0.838  -0.03
O 0.308 0.308 0.338  -0.03
Re 0.000 0.000 0.000  0.87
Re 0.500 0.500 0.500  0.87
Cr 0.500 0.500 0.166  3.04
Cr 0.000 0.000 0.666  3.04
Cr 0.000 0.000 0.334  3.04
Cr 0.500 0.500 0.834  3.04

Results
**Raw total energy**: -8.120 eV per atom
**Symmetry**: P4_2/mnm (136)
**Crystal system**: tetragonal

***

An optimized crystal structure of CrReO4. Source: Alexandria, functional GGA+U.

a = 6.561 Å, b = 6.883 Å, c = 7.481 Å
α = 62.61°, β = 63.99°, γ = 90.00°
Site moments in Bohr magnetons follow the coordinates.
Fractional positions:
O 0.541 0.248 0.505  -0.04
O 0.375 0.561 0.250  -0.02
O 0.125 0.342 0.750  -0.01
O 0.796 0.502 0.995  -0.04
O 0.875 0.061 0.250  -0.02
O 0.625 0.408 0.750  -0.01
O 0.625 0.842 0.750  -0.01
O 0.454 0.748 0.505  -0.04
O 0.875 0.689 0.250  -0.02
O 0.375 0.189 0.250  -0.02
O 0.209 0.502 0.995  -0.04
O 0.125 0.908 0.750  -0.01
O 0.296 0.002 0.995  -0.04
O 0.954 0.248 0.505  -0.04
O 0.041 0.748 0.505  -0.04
O 0.709 0.002 0.995  -0.04
Re 0.738 0.738 0.524  -0.03
Re 0.512 0.512 0.976  -0.02
Re 0.238 0.238 0.524  -0.03
Re 0.012 0.012 0.976  -0.02
Cr 0.125 0.625 0.750  2.89
Cr 0.625 0.125 0.750  2.89
Cr 0.875 0.375 0.250  2.98
Cr 0.375 0.875 0.250  2.98

Results
**Symmetry**: Cmmm (65)
**Crystal system**: orthorhombic
**Excess energy over the best structure of this formula in the dataset**: 0.024 eV per atom